Sm4Tm5Mg: optimized geometry, PBE-GGA.

POSCAR file:
```
Sm4Tm5Mg
1.0
-5.3263 5.3263 2.8420
5.3263 -5.3263 2.8420
5.3263 5.3263 -2.8420
Sm Tm Mg
4 5 1
Cartesian
3.3896 0.0000 0.0000
7.2629 0.0000 0.0000
0.0000 3.3896 0.0000
0.0000 7.2629 0.0000
3.3534 3.3534 0.0468
1.9728 -1.9728 2.8888
-1.9728 1.9728 2.8888
1.9728 1.9728 2.8888
0.0000 0.0000 4.4979
0.0000 0.0000 1.5581
```

* energy relative to the lowest polymorph listed for this composition: 184.3 meV/atom
* DFT formation energy: 0.189 eV per atom
* space-group type: I4mm (107)
* mass density: 7.6 g cm⁻³
* N(E_F): 12.0 states/eV per cell